No. 1
The following is a DFT calculation (GGA-PBE) of a geometry-optimized CuPRu2 structure.

Output
Its total magnetization is 0.00 Bohr magnetons per cell. The value obtained for the theoretical density is 6.807 g/cm³. The total energy is -101.56 eV/cell. The crystal system is tetragonal. The energy of formation from the pure elements is 2.67 eV per formula unit.

Geometry as CIF:
```
data_CuPRu2
_cell_length_a 4.943
_cell_length_b 4.943
_cell_length_c 11.849
_cell_angle_alpha 90.00
_cell_angle_beta 90.00
_cell_angle_gamma 90.00
_symmetry_space_group_name_H-M 'I -4 2 d'
_symmetry_Int_Tables_number 122
_symmetry_space_group_name_Hall 'I -4 2bw'
loop_
_atom_site_label
_atom_site_type_symbol
_atom_site_fract_x
_atom_site_fract_y
_atom_site_fract_z
_atom_site_occupancy
Cu1 Cu 0.000 0.000 0.000 1
P1 P 0.000 0.000 0.500 1
Ru1 Ru 0.218 0.250 0.625 1
```

=====

No. 2
The following is a DFT calculation (GGA-PBE) of a geometry-optimized ZrZn2In structure.

Output
Its total magnetization is 0.00 Bohr magnetons per cell. The value obtained for the theoretical density is 7.325 g/cm³. The total energy is -14.30 eV/cell. The crystal system is monoclinic. The energy of formation from the pure elements is -0.46 eV per formula unit.

Geometry as CIF:
```
data_ZrZn2In
_cell_length_a 3.139
_cell_length_b 4.320
_cell_length_c 5.828
_cell_angle_alpha 90.00
_cell_angle_beta 104.92
_cell_angle_gamma 90.00
_symmetry_space_group_name_H-M 'P 1 m 1'
_symmetry_Int_Tables_number 6
loop_
_symmetry_equiv_pos_as_xyz
'x,y,z'
'x,-y,z'
loop_
_atom_site_label
_atom_site_type_symbol
_atom_site_fract_x
_atom_site_fract_y
_atom_site_fract_z
_atom_site_occupancy
Zr1 Zr 0.000 0.000 0.000 1
Zn1 Zn 0.277 0.000 0.536 1
Zn2 Zn 0.398 0.500 0.787 1
In1 In 0.651 0.500 0.303 1
```

=====

No. 3
The following is a DFT calculation (GGA-PBE) of a geometry-optimized ZnCl2 structure.

Output
Its total magnetization is 0.00 Bohr magnetons per cell. The formation energy from raw total energies is -261 kJ/mol of formula units. The value obtained for the theoretical density is 3.175 g/cm³. The total energy is -15.35 eV/cell. The crystal system is hexagonal.

Geometry as CIF:
```
data_ZnCl2
_cell_length_a 3.4783
_cell_length_b 3.4783
_cell_length_c 13.6077
_cell_angle_alpha 90.00
_cell_angle_beta 90.00
_cell_angle_gamma 120.00
_symmetry_space_group_name_H-M 'P 63/m m c'
_symmetry_Int_Tables_number 194
_symmetry_space_group_name_Hall '-P 6c 2c'
loop_
_atom_site_label
_atom_site_type_symbol
_atom_site_fract_x
_atom_site_fract_y
_atom_site_fract_z
_atom_site_occupancy
Zn1 Zn 0.0000 0.0000 0.2500 1
Cl1 Cl 0.3333 0.6667 0.1372 1
```

=====

No. 4
The following is a DFT calculation (GGA-PBE) of a geometry-optimized KTa2Cu structure.

Output
Its total magnetization is 0.00 Bohr magnetons per cell. The value obtained for the theoretical density is 9.330 g/cm³. The value obtained for the excess energy over the best structure of this formula in the dataset is 0.228 eV per atom. The total energy is -51.33 eV/cell. The crystal system is orthorhombic. The energy of formation from the pure elements is 3.23 eV per formula unit.

Geometry as CIF:
```
data_KTa2Cu
_cell_length_a 3.678
_cell_length_b 4.270
_cell_length_c 10.529
_cell_angle_alpha 90.00
_cell_angle_beta 90.00
_cell_angle_gamma 90.00
_symmetry_space_group_name_H-M 'C m m m'
_symmetry_Int_Tables_number 65
_symmetry_space_group_name_Hall '-C 2 2'
loop_
_atom_site_label
_atom_site_type_symbol
_atom_site_fract_x
_atom_site_fract_y
_atom_site_fract_z
_atom_site_occupancy
K1 K 0.000 0.000 0.000 1
Ta1 Ta 0.000 0.500 0.317 1
Cu1 Cu 0.000 0.000 0.500 1
```

=====

No. 5
The following is a DFT calculation (GGA-PBE) of a geometry-optimized RuSeBr2 structure.

Output
Its total magnetization is 0.00 Bohr magnetons per cell. The formation energy from raw total energies is 82 kJ/mol of formula units. The value obtained for the theoretical density is 5.913 g/cm³. The value obtained for the excess energy over the best structure of this formula in the dataset is 0.403 eV per atom. The total energy is -30.51 eV/cell. The crystal system is orthorhombic.

Geometry as CIF:
```
data_RuSeBr2
_cell_length_a 3.255
_cell_length_b 5.049
_cell_length_c 11.615
_cell_angle_alpha 90.00
_cell_angle_beta 90.00
_cell_angle_gamma 90.00
_symmetry_space_group_name_H-M 'I m m 2'
_symmetry_Int_Tables_number 44
loop_
_symmetry_equiv_pos_as_xyz
'x,y,z'
'-x,-y,z'
'-x,y,z'
'x,-y,z'
'x+1/2,y+1/2,z+1/2'
'-x+1/2,-y+1/2,z+1/2'
'-x+1/2,y+1/2,z+1/2'
'x+1/2,-y+1/2,z+1/2'
loop_
_atom_site_label
_atom_site_type_symbol
_atom_site_fract_x
_atom_site_fract_y
_atom_site_fract_z
_atom_site_occupancy
Ru1 Ru 0.000 0.000 0.000 1
Se1 Se 0.000 0.500 0.648 1
Br1 Br 0.000 0.000 0.496 1
Br2 Br 0.000 0.500 0.310 1
```

=====

No. 6
The following is a DFT calculation (GGA-PBE) of a geometry-optimized Sr2P3Pd6 structure.

Output
Its total magnetization is 0.00 Bohr magnetons per cell. The value obtained for the theoretical density is 7.396 g/cm³. The total energy is -58.99 eV/cell. The crystal system is hexagonal. The energy of formation from the pure elements is -8.24 eV per formula unit.

Geometry as CIF:
```
data_Sr2P3Pd6
_cell_length_a 7.3908
_cell_length_b 7.3908
_cell_length_c 4.3033
_cell_angle_alpha 90.00
_cell_angle_beta 90.00
_cell_angle_gamma 120.00
_symmetry_space_group_name_H-M 'P -6 2 m'
_symmetry_Int_Tables_number 189
_symmetry_space_group_name_Hall 'P -6 -2'
loop_
_atom_site_label
_atom_site_type_symbol
_atom_site_fract_x
_atom_site_fract_y
_atom_site_fract_z
_atom_site_occupancy
Sr1 Sr 0.3333 0.6667 0.0000 1
P1 P 0.0000 0.3592 0.5000 1
Pd1 Pd 0.0000 0.2127 0.0000 1
Pd2 Pd 0.0000 0.6967 0.5000 1
```

=====

No. 7
The following is a DFT calculation (GGA-PBE) of a geometry-optimized Ti6Zn5Cu structure.

Output
Its total magnetization is 0.00 Bohr magnetons per cell. The value obtained for the theoretical density is 6.075 g/cm³. The total energy is -119.33 eV/cell. The crystal system is orthorhombic. The energy of formation from the pure elements is -1.83 eV per formula unit.

Geometry as CIF:
```
data_Ti6Zn5Cu
_cell_length_a 4.431
_cell_length_b 13.306
_cell_length_c 6.285
_cell_angle_alpha 90.00
_cell_angle_beta 90.00
_cell_angle_gamma 90.00
_symmetry_space_group_name_H-M 'C m m m'
_symmetry_Int_Tables_number 65
_symmetry_space_group_name_Hall '-C 2 2'
loop_
_atom_site_label
_atom_site_type_symbol
_atom_site_fract_x
_atom_site_fract_y
_atom_site_fract_z
_atom_site_occupancy
Ti1 Ti 0.000 0.000 0.247 1
Ti2 Ti 0.000 0.335 0.248 1
Zn1 Zn 0.000 0.167 0.000 1
Zn2 Zn 0.000 0.168 0.500 1
Zn3 Zn 0.000 0.500 0.500 1
Cu1 Cu 0.000 0.500 0.000 1
```

=====

No. 8
The following is a DFT calculation (GGA-PBE) of a geometry-optimized Na2CeCdO4 structure.

Output
Its total magnetization is 0.00 Bohr magnetons per cell. The formation energy from raw total energies is -1622 kJ/mol of formula units. The value obtained for the theoretical density is 5.256 g/cm³. The total energy is -46.13 eV/cell. The crystal system is monoclinic.

Geometry as CIF:
```
data_Na2CeCdO4
_cell_length_a 5.804
_cell_length_b 3.515
_cell_length_c 5.939
_cell_angle_alpha 90.00
_cell_angle_beta 109.04
_cell_angle_gamma 90.00
_symmetry_space_group_name_H-M 'P 1 2/m 1'
_symmetry_Int_Tables_number 10
loop_
_symmetry_equiv_pos_as_xyz
'x,y,z'
'-x,-y,-z'
'-x,y,-z'
'x,-y,z'
loop_
_atom_site_label
_atom_site_type_symbol
_atom_site_fract_x
_atom_site_fract_y
_atom_site_fract_z
_atom_site_occupancy
Na1 Na 0.000 0.000 0.000 1
Na2 Na 0.500 0.500 0.000 1
Ce1 Ce 0.000 0.500 0.500 1
Cd1 Cd 0.500 0.000 0.500 1
O1 O 0.219 0.000 0.722 1
O2 O 0.247 0.500 0.281 1
```